# 1
## PtCl (PBE)

Data for a relaxed PtCl crystal.

a = 8.186 Å, b = 8.186 Å, c = 5.213 Å
α = 90.00°, β = 90.00°, γ = 90.00°
Fractional coordinates of all 16 atoms:
Pt 0.413 0.233 0.000
Pt 0.587 0.767 0.000
Pt 0.767 0.413 0.000
Pt 0.233 0.587 0.000
Pt 0.913 0.733 0.500
Pt 0.087 0.267 0.500
Pt 0.267 0.913 0.500
Pt 0.733 0.087 0.500
Cl 0.316 0.859 0.000
Cl 0.684 0.141 0.000
Cl 0.141 0.316 0.000
Cl 0.859 0.684 0.000
Cl 0.816 0.359 0.500
Cl 0.184 0.641 0.500
Cl 0.641 0.816 0.500
Cl 0.359 0.184 0.500

---

# 2
## PtCl (PBE)

Data for a relaxed PtCl crystal.

a = 4.049 Å, b = 4.049 Å, c = 5.443 Å
α = 90.00°, β = 90.00°, γ = 120.00°
Fractional coordinates of all 4 atoms:
Cl 0.333 0.667 0.250
Cl 0.667 0.333 0.750
Pt 0.000 0.000 0.000
Pt 0.000 0.000 0.500

---

no.,calculated density (g cm⁻³),energy (eV per atom)
1,8.8,-3.492
2,9.9,-3.344